[1]
CeDyAgGe | PBE-GGA | optimized geometry

Results
energy = -78.97 eV for the cell shown
total moment = 6.9 μB per cell
ΔE_f = -1.74 eV/f.u.

Unit cell a=7.290 b=7.290 c=7.290 alpha=90.00 beta=90.00 gamma=90.00
Space group F-43m (No. 216)
Asymmetric unit:
Ce 0.000 0.000 0.000 [4 per cell]
Dy 0.000 0.000 0.500 [4 per cell]
Ag 0.250 0.250 0.750 [4 per cell]
Ge 0.250 0.250 0.250 [4 per cell]

[2]
BaCaRe2 | PBE-GGA | optimized geometry

Results
ΔE to the lowest computed polymorph = 127 meV/atom
energy = -26.91 eV for the cell shown
total moment = 0.0 μB per cell
ΔE_f = 1.91 eV/f.u.

Unit cell a=3.286 b=3.286 c=9.647 alpha=90.00 beta=90.22 gamma=90.00
Space group Pm (No. 6)
Asymmetric unit:
Ba 0.000 0.000 0.000 [1 per cell]
Ca 0.507 0.500 0.610 [1 per cell]
Re 0.004 0.000 0.385 [1 per cell]
Re 0.503 0.500 0.267 [1 per cell]

[3]
Eu2PtRh | PBE-GGA | optimized geometry

Results
energy = -36.34 eV for the cell shown
total moment = 13.6 μB per cell
ΔE_f = -2.40 eV/f.u.

Unit cell a=3.620 b=3.620 c=6.839 alpha=90.00 beta=90.00 gamma=90.00
Space group P4/mmm (No. 123)
Asymmetric unit:
Eu 0.000 0.000 0.249 [2 per cell]
Pt 0.500 0.500 0.500 [1 per cell]
Rh 0.500 0.500 0.000 [1 per cell]

[4]
Ac4Nd5Y2 | PBE-GGA | optimized geometry

Results
energy = -104.32 eV for the cell shown
total moment = 0.0 μB per cell
ΔE_f = 1.04 eV/f.u.

Unit cell a=20.696 b=6.126 c=6.674 alpha=90.00 beta=95.71 gamma=90.00
Space group C2/m (No. 12)
Asymmetric unit:
Ac 0.051 0.000 0.273 [4 per cell]
Ac 0.170 0.500 0.122 [4 per cell]
Nd 0.000 0.500 0.000 [2 per cell]
Nd 0.146 0.000 0.793 [4 per cell]
Nd 0.246 0.000 0.352 [4 per cell]
Y 0.082 0.500 0.580 [4 per cell]

| no. | N(E_F) (states/eV/cell) |
| --- | --- |
| 1 | 37.22 |
| 2 | 4.10 |
| 3 | 17.49 |
| 4 | 40.03 |